No. 1
# PrTm2Bi, optimized geometry, DFT PBE
data_PrTm2Bi
_cell_length_a 4.018
_cell_length_b 4.018
_cell_length_c 7.526
_cell_angle_alpha 90.00
_cell_angle_beta 90.00
_cell_angle_gamma 90.00
_space_group_name_H-M_alt 'P 1'
_space_group_IT_number 1
loop_
_space_group_symop_operation_xyz
'x,y,z'
loop_
_atom_site_label
_atom_site_type_symbol
_atom_site_fract_x
_atom_site_fract_y
_atom_site_fract_z
Pr1 Pr 0.500 0.500 0.000
Tm1 Tm 0.000 0.000 0.723
Tm2 Tm 0.000 0.000 0.277
Bi1 Bi 0.500 0.500 0.500
# calculated density: 9.4 g/cm3
# spin magnetization: 0.00 μB/f.u.
# distance to the lowest polymorph of the same formula: 6.65 kJ per mole of atoms
# final energy: -4.718 eV per atom
# space-group type: P4/mmm, No. 123

No. 2
# Pr5Tm3Bi8, optimized geometry, DFT PBE
data_Pr5Tm3Bi8
_cell_length_a 9.138
_cell_length_b 9.138
_cell_length_c 9.129
_cell_angle_alpha 59.97
_cell_angle_beta 59.97
_cell_angle_gamma 60.00
_space_group_name_H-M_alt 'P 1'
_space_group_IT_number 1
loop_
_space_group_symop_operation_xyz
'x,y,z'
loop_
_atom_site_label
_atom_site_type_symbol
_atom_site_fract_x
_atom_site_fract_y
_atom_site_fract_z
Pr1 Pr 0.500 0.500 0.000
Pr2 Pr 0.000 0.000 0.000
Pr3 Pr 0.000 0.500 0.000
Pr4 Pr 0.500 0.000 0.000
Pr5 Pr 0.500 0.500 0.500
Tm1 Tm 0.500 0.000 0.500
Tm2 Tm 0.000 0.000 0.500
Tm3 Tm 0.000 0.500 0.500
Bi1 Bi 0.245 0.245 0.264
Bi2 Bi 0.755 0.755 0.736
Bi3 Bi 0.241 0.750 0.259
Bi4 Bi 0.750 0.241 0.259
Bi5 Bi 0.250 0.759 0.741
Bi6 Bi 0.750 0.750 0.259
Bi7 Bi 0.759 0.250 0.741
Bi8 Bi 0.250 0.250 0.741
# calculated density: 8.9 g/cm3
# spin magnetization: 0.00 μB/f.u.
# final energy: -5.156 eV per atom
# space-group type: R-3m, No. 166

No. 3
# Pr3TmBi4, optimized geometry, DFT PBE
data_Pr3TmBi4
_cell_length_a 7.952
_cell_length_b 7.946
_cell_length_c 9.203
_cell_angle_alpha 90.00
_cell_angle_beta 90.00
_cell_angle_gamma 109.51
_space_group_name_H-M_alt 'P 1'
_space_group_IT_number 1
loop_
_space_group_symop_operation_xyz
'x,y,z'
loop_
_atom_site_label
_atom_site_type_symbol
_atom_site_fract_x
_atom_site_fract_y
_atom_site_fract_z
Bi1 Bi 0.000 0.760 0.880
Bi2 Bi 0.005 0.754 0.370
Bi3 Bi 0.000 0.240 0.120
Bi4 Bi 0.995 0.246 0.630
Bi5 Bi 0.500 0.760 0.120
Bi6 Bi 0.495 0.246 0.370
Bi7 Bi 0.500 0.240 0.880
Bi8 Bi 0.505 0.754 0.630
Pr1 Pr 0.750 0.500 0.124
Pr2 Pr 0.250 0.500 0.876
Pr3 Pr 0.250 0.500 0.374
Pr4 Pr 0.750 0.500 0.626
Pr5 Pr 0.750 0.000 0.374
Pr6 Pr 0.250 0.000 0.626
Tm1 Tm 0.750 0.000 0.875
Tm2 Tm 0.250 0.000 0.125
# calculated density: 8.6 g/cm3
# spin magnetization: 0.00 μB/f.u.
# final energy: -5.198 eV per atom
# space-group type: P2/c, No. 13

No. 4
# Pr3Tm2Bi4, optimized geometry, DFT PBE
data_Pr3Tm2Bi4
_cell_length_a 4.830
_cell_length_b 8.103
_cell_length_c 10.482
_cell_angle_alpha 129.91
_cell_angle_beta 90.00
_cell_angle_gamma 107.34
_space_group_name_H-M_alt 'P 1'
_space_group_IT_number 1
loop_
_space_group_symop_operation_xyz
'x,y,z'
loop_
_atom_site_label
_atom_site_type_symbol
_atom_site_fract_x
_atom_site_fract_y
_atom_site_fract_z
Bi1 Bi 0.655 0.309 0.036
Bi2 Bi 0.935 0.871 0.591
Bi3 Bi 0.345 0.691 0.964
Bi4 Bi 0.065 0.129 0.409
Pr1 Pr 0.345 0.690 0.278
Pr2 Pr 0.000 0.000 0.000
Pr3 Pr 0.655 0.310 0.722
Tm1 Tm 0.348 0.697 0.662
Tm2 Tm 0.652 0.303 0.338
# calculated density: 9.1 g/cm3
# spin magnetization: 0.01 μB/f.u.
# final energy: -5.011 eV per atom
# space-group type: C2/m, No. 12